First-principles (PBE-GGA) data for a relaxed SrZrBeBr2 crystal, as listed in the Alexandria database.

Its total magnetic moment is 2.49 μB/cell. As for the space-group type: P4/mmm, No. 123. The total energy comes out at -16.47 eV for the cell shown. The formation energy from raw total energies comes out at 167 meV/atom.

The structure in POSCAR format:
```
SrZrBeBr2
1.0
5.198 0.000 0.000
0.000 5.198 0.000
0.000 0.000 5.047
Sr Zr Be Br
1 1 1 2
direct
0.000 0.000 0.000 Sr
0.500 0.500 0.000 Zr
0.500 0.500 0.500 Be
0.000 0.500 0.500 Br
0.500 0.000 0.500 Br
```